Model a:
{
  "formula": "Tb2Sm7Er3",
  "functional": "PBE-GGA",
  "state": "optimized geometry",
  "cell": [[6.3943, 0.0000, 0.0000], [0.0000, 3.5432, 0.0000], [-1.8355, 0.0000, 17.3901]],
  "species": ["Tb", "Tb", "Sm", "Sm", "Sm", "Sm", "Sm", "Sm", "Sm", "Er", "Er", "Er"],
  "fractional_positions": [[0.0591, 0.0000, 0.1709], [0.9409, 0.0000, 0.8291], [0.0000, 0.5000, 0.5000], [0.2258, 0.0000, 0.6705], [0.2571, 0.0000, 0.9963], [0.2753, 0.5000, 0.3339], [0.7247, 0.5000, 0.6661], [0.7429, 0.0000, 0.0037], [0.7742, 0.0000, 0.3295], [0.4532, 0.5000, 0.8413], [0.5000, 0.0000, 0.5000], [0.5468, 0.5000, 0.1587]],
  "m_tot_mub_per_cell": 0.0,
  "dos_at_fermi_per_ev_cell": 17.599,
  "vol_a3_per_atom": 32.833
}


Model b:
{
  "formula": "Tb2Sm7Er3",
  "functional": "PBE-GGA",
  "state": "optimized geometry",
  "cell": [[2.8752, -18.9765, 0.0000], [2.8752, 18.9765, 0.0000], [0.0000, 0.0000, 3.6186]],
  "species": ["Tb", "Tb", "Sm", "Sm", "Sm", "Sm", "Sm", "Sm", "Sm", "Er", "Er", "Er"],
  "fractional_positions": [[0.1486, 0.8514, 0.0000], [0.8514, 0.1486, 0.0000], [0.0000, 0.0000, 0.0000], [0.0722, 0.9278, 0.5000], [0.2318, 0.7682, 0.0000], [0.4078, 0.5922, 0.0000], [0.5922, 0.4078, 0.0000], [0.7682, 0.2318, 0.0000], [0.9278, 0.0722, 0.5000], [0.3151, 0.6849, 0.5000], [0.5000, 0.5000, 0.5000], [0.6849, 0.3151, 0.5000]],
  "m_tot_mub_per_cell": 0.0,
  "dos_at_fermi_per_ev_cell": 18.688,
  "vol_a3_per_atom": 32.906
}


Among the structures above, stability is smallest for model b.